Entry 1:
DFT (PBE-GGA) results for an optimized crystal structure of Pm2TiRe2N6.

Cell: 6.5848 6.5848 6.5848 Å, 50.23 50.23 50.23°
With the nearest neighbours (Å) after each atom.
Fractional coordinates of all 11 atoms:
Pm: 0.2069 0.2069 0.2069  3 N 2.49
Pm: 0.7931 0.7931 0.7931  3 N 2.49
Ti: 0.0000 0.0000 0.0000  6 N 2.18
Re: 0.3908 0.3908 0.3908  3 N 1.82
Re: 0.6092 0.6092 0.6092  3 N 1.82
N: 0.2201 0.7524 0.7524  1 Re 1.82
N: 0.2476 0.2476 0.7799  1 Re 1.82
N: 0.2476 0.7799 0.2476  1 Re 1.82
N: 0.7524 0.2201 0.7524  1 Re 1.82
N: 0.7524 0.7524 0.2201  1 Re 1.82
N: 0.7799 0.2476 0.2476  1 Re 1.82

Properties
Size of the total moment, μB/cell: 0.00
Total DFT energy (no corrections), eV per atom: -8.98
SG: No. 166

Entry 2:
DFT (PBE-GGA) results for an optimized crystal structure of La3In.

Cell: 5.0621 5.0621 5.0621 Å, 90.00 90.00 90.00°
With the nearest neighbours (Å) after each atom.
Fractional coordinates of all 4 atoms:
La: 0.0000 0.0000 0.5000  4 In 3.58, 8 La 3.58
La: 0.0000 0.5000 0.0000  4 In 3.58, 8 La 3.58
La: 0.5000 0.0000 0.0000  4 In 3.58, 8 La 3.58
In: 0.5000 0.5000 0.5000  12 La 3.58

Properties
Relative energy among the computed polymorphs, eV/atom: 0.000
Size of the total moment, μB/cell: 0.00
E_form, eV/atom: -0.302
SG: No. 221